Computed, not measured: an optimized crystal structure of Pm6PrDy2Tm3 at the GGA-PBE level of DFT.

The structure in POSCAR format:
```
Pm6PrDy2Tm3
1.0
-5.6800 -1.0774 -2.3520
3.7284 -4.7854 1.4679
-3.7897 1.7989 11.0803
Pm Pr Tm Dy
6 1 3 2
Cartesian
-2.7172 -3.6617 8.2500
0.1201 -1.6413 3.2228
-2.4256 -3.9463 2.1436
-3.0241 -0.4022 1.9463
-3.3158 -0.1176 8.0526
-5.8615 -2.4226 6.9734
0.0000 0.0000 0.0000
0.2632 -3.2671 6.3705
-2.8707 -2.0319 5.0981
-6.0046 -0.7968 3.8257
0.5912 -3.5490 0.1942
-2.5429 -2.3138 -1.0783
```

Computed properties:
* space-group type: C2/m, No. 12
* E_form: 0.02 eV/atom

Computed, not measured: an optimized crystal structure of InBN3 at the GGA-PBE level of DFT.

The structure in POSCAR format:
```
InBN3
1.0
4.2866 0.0000 0.0000
0.0000 4.2866 0.0000
0.0000 0.0000 4.2866
In N B
1 3 1
Cartesian
0.0000 0.0000 0.0000
0.0000 0.0000 2.1433
0.0000 2.1433 0.0000
2.1433 0.0000 0.0000
2.1433 2.1433 2.1433
```

Computed properties:
* space-group type: Pm-3m, No. 221
* ΔE_f (raw): 2.948 eV per atom

Computed, not measured: an optimized crystal structure of HoAl3Cu at the GGA-PBE level of DFT.

The structure in POSCAR format:
```
HoAl3Cu
1.0
-1.9281 -3.5850 -0.6002
0.0703 -0.7160 4.0513
-5.6758 0.3145 2.2511
Al Ho Cu
3 1 1
Cartesian
-4.3391 -2.6729 1.6972
-1.8733 -1.6602 1.8307
-3.3400 -1.2380 4.0206
-1.8908 -4.2842 3.4565
-5.4816 -2.4189 3.8507
```

Computed properties:
* energy relative to the lowest polymorph listed for this composition: 0 meV per atom
* space-group type: Cm, No. 8
* E_form: -0.43 eV/atom

Computed, not measured: an optimized crystal structure of TcMo at the GGA-PBE level of DFT.

The structure in POSCAR format:
```
TcMo
1.0
-2.2302 -4.5568 -0.9702
0.8300 -5.0639 -0.5898
-1.1503 -2.8004 5.5216
Mo Tc
3 3
Cartesian
-1.4085 -5.7118 3.7179
-0.8184 -4.2056 0.9780
-1.1256 -2.9012 5.1884
-0.5447 -1.4709 2.4216
-1.0899 -6.9622 -0.5122
-1.6892 -8.4612 2.3116
```

Computed properties:
* energy relative to the lowest polymorph listed for this composition: 19 meV per atom
* space-group type: Cm, No. 8
* E_form: 0.10 eV/atom

Computed, not measured: an optimized crystal structure of CePm8Nd3 at the GGA-PBE level of DFT.

The structure in POSCAR format:
```
CePm8Nd3
1.0
7.6467 -0.4688 -3.6165
-4.4641 7.0960 -1.2206
-0.2950 0.4688 8.4537
Pm Nd Ce
8 3 1
Cartesian
6.2678 1.7230 2.6890
-3.1064 4.9379 6.6712
0.4859 5.3730 3.4713
-3.5713 5.6769 1.2181
5.2190 0.5440 -1.8765
2.5929 1.4191 -0.1453
-4.1219 6.5521 4.3148
0.1380 2.6270 1.7401
-2.3795 3.7824 3.6165
2.4861 1.8912 4.2268
0.4016 5.2048 -0.6103
0.0000 0.0000 0.0000
```

Computed properties:
* space-group type: I-42m, No. 121
* E_form: 0.53 eV/atom

Computed, not measured: an optimized crystal structure of Dy2BiSe4 at the GGA-PBE level of DFT.

The structure in POSCAR format:
```
Dy2BiSe4
1.0
4.0222 0.0000 0.0000
0.0000 7.2215 0.1180
-2.0111 -3.4021 7.2923
Se Dy Bi
4 2 1
Cartesian
2.0111 -1.2327 5.3501
0.0000 5.0521 2.0602
2.0111 1.2759 2.1480
0.0000 2.5434 5.2623
2.0111 3.7646 3.5751
0.0000 0.0547 3.8353
0.0000 0.0000 0.0000
```

Computed properties:
* space-group type: C2/m, No. 12
* ΔE_f (raw): -1.315 eV per atom

In order of appearance, total DFT energy (no corrections) = -4.6418 -3.9304 -4.4108 -10.5035 -4.3246 -5.1754 eV/atom.